5
Lattice="4.226 0.000 0.000 0.000 4.226 0.000 0.000 0.000 4.226" Properties=species:S:1:pos:R:3 comment="TiBMo3, relaxed, DFT PBE" formation_energy_ev_per_fu=0.7 magnetic_moment_mub_per_fu=0.00 final_energy_ev_per_cell=-46.4 pbc="T T T"
Mo 0.000 2.113 0.000
Mo 0.000 0.000 2.113
Mo 2.113 0.000 0.000
B 0.000 0.000 0.000
Ti 2.113 2.113 2.113